Entry 1:
Here is an optimized crystal structure of Cs3GeTe3 from the Alexandria database. Energies are from PBE.

Computed properties:
crystal system: monoclinic
formation energy from raw total energies: -842 meV per atom
energy: -3.21 eV per atom

abc: 10.4759 11.4923 11.4923
angles: 98.13 95.12 84.88
With the nearest neighbours (Å) after each atom.
Positions (direct):
Te: 0.0566 0.2137 0.0100  1 Ge 2.63
Te: 0.5566 0.9900 0.7863  1 Ge 2.63
Te: 0.9516 0.4959 0.7110  1 Ge 2.63
Te: 0.4516 0.2890 0.5041  1 Ge 2.63
Te: 0.0484 0.5041 0.2890  1 Ge 2.63
Te: 0.4434 0.0100 0.2137  1 Ge 2.63
Te: 0.5484 0.7110 0.4959  1 Ge 2.63
Te: 0.7105 0.4344 0.0604  1 Ge 2.64
Te: 0.2105 0.9396 0.5656  1 Ge 2.64
Te: 0.7895 0.0604 0.4344  1 Ge 2.64
Te: 0.2895 0.5656 0.9396  1 Ge 2.64
Te: 0.9434 0.7863 0.9900  1 Ge 2.63
Cs: 0.2589 0.2496 0.7587  6 Te 3.80-4.14
Cs: 0.2411 0.7587 0.2496  6 Te 3.80-4.14
Cs: 0.7411 0.7504 0.2413  6 Te 3.80-4.14
Cs: 0.2500 0.9147 0.9147  6 Te 3.87-4.04
Cs: 0.1256 0.1695 0.3477  6 Te 3.89-4.09, 1 Cs 4.27
Cs: 0.7500 0.4133 0.4133  6 Te 3.83-4.08
Cs: 0.2500 0.5867 0.5867  6 Te 3.83-4.08
Cs: 0.3744 0.3477 0.1695  6 Te 3.89-4.09, 1 Cs 4.27
Cs: 0.6256 0.6523 0.8305  6 Te 3.89-4.09, 1 Cs 4.27
Cs: 0.7500 0.0853 0.0853  6 Te 3.87-4.04
Cs: 0.7589 0.2413 0.7504  6 Te 3.80-4.14
Cs: 0.8744 0.8305 0.6523  6 Te 3.89-4.09, 1 Cs 4.27
Ge: 0.4633 0.9296 0.5681  1 Ge 2.61, 3 Te 2.63-2.64
Ge: 0.5367 0.0704 0.4319  1 Ge 2.61, 3 Te 2.63-2.64
Ge: 0.0367 0.5681 0.9296  1 Ge 2.61, 3 Te 2.63-2.64
Ge: 0.9633 0.4319 0.0704  1 Ge 2.61, 3 Te 2.63-2.64

=====

Entry 2:
Here is an optimized crystal structure of La4TlAu from the Alexandria database. Energies are from PBE.

Computed properties:
crystal system: cubic
energy: -4.08 eV per atom
energy relative to the elements: 0.9 eV/f.u.

abc: 6.4381 6.4381 6.4381
angles: 60.00 60.00 60.00
With the nearest neighbours (Å) after each atom.
Positions (direct):
La: 0.3756 0.8731 0.3756  6 La 3.20-3.24
La: 0.8731 0.3756 0.3756  6 La 3.20-3.24
La: 0.3756 0.3756 0.3756  6 La 3.20-3.24
La: 0.3756 0.3756 0.8731  6 La 3.20-3.24
Au: 0.0000 0.0000 0.0000  12 La 3.78, 4 Tl 3.94
Tl: 0.7500 0.7500 0.7500  12 La 3.77, 4 Au 3.94